No. 1
Compound: Rb2GeCI6
Source: Alexandria via LeMat-Bulk
Functional: PBE
Structure: optimized geometry

Geometry as CIF:
```
data_Rb2GeCI6
_chemical_formula_sum 'Rb4 Ge2 C2 I12'
_cell_length_a 8.023
_cell_length_b 8.023
_cell_length_c 11.292
_cell_angle_alpha 90.00
_cell_angle_beta 90.00
_cell_angle_gamma 90.00
_space_group_name_H-M_alt 'I 4/m m m'
_space_group_IT_number 139
_space_group_name_Hall '-I 4 2'
loop_
_atom_site_label
_atom_site_type_symbol
_atom_site_fract_x
_atom_site_fract_y
_atom_site_fract_z
Rb1 Rb 0.000 0.500 0.250
Ge1 Ge 0.000 0.000 0.000
C1 C 0.000 0.000 0.500
I1 I 0.000 0.000 0.261
I2 I 0.238 0.238 0.500
```

Magnetization, μB/f.u.: 0.00
Formation energy (no corrections), eV per atom: -0.1811
Crystal system: tetragonal


No. 2
Compound: GeSbCI2
Source: Alexandria via LeMat-Bulk
Functional: PBE
Structure: optimized geometry

Geometry as CIF:
```
data_GeSbCI2
_chemical_formula_sum 'Ge1 Sb1 C1 I2'
_cell_length_a 5.679
_cell_length_b 5.679
_cell_length_c 5.604
_cell_angle_alpha 90.00
_cell_angle_beta 90.00
_cell_angle_gamma 90.00
_space_group_name_H-M_alt 'P 4/m m m'
_space_group_IT_number 123
_space_group_name_Hall '-P 4 2'
loop_
_atom_site_label
_atom_site_type_symbol
_atom_site_fract_x
_atom_site_fract_y
_atom_site_fract_z
Ge1 Ge 0.000 0.000 0.000
Sb1 Sb 0.000 0.000 0.500
C1 C 0.500 0.500 0.500
I1 I 0.000 0.500 0.000
```

Magnetization, μB/f.u.: 0.79
Formation energy (no corrections), eV per atom: 1.7210
Crystal system: tetragonal


No. 3
Compound: GeSbCI2
Source: Alexandria via LeMat-Bulk
Functional: PBE
Structure: optimized geometry

Geometry as CIF:
```
data_GeSbCI2
_chemical_formula_sum 'Ge1 Sb1 C1 I2'
_cell_length_a 5.061
_cell_length_b 5.061
_cell_length_c 4.795
_cell_angle_alpha 90.00
_cell_angle_beta 90.00
_cell_angle_gamma 90.00
_space_group_name_H-M_alt 'P 4/m m m'
_space_group_IT_number 123
_space_group_name_Hall '-P 4 2'
loop_
_atom_site_label
_atom_site_type_symbol
_atom_site_fract_x
_atom_site_fract_y
_atom_site_fract_z
Ge1 Ge 0.000 0.000 0.000
Sb1 Sb 0.500 0.500 0.000
C1 C 0.500 0.500 0.500
I1 I 0.000 0.500 0.500
```

Magnetization, μB/f.u.: 0.00
Formation energy (no corrections), eV per atom: 1.1651
Crystal system: tetragonal


No. 4
Compound: ScGeC2I
Source: Alexandria via LeMat-Bulk
Functional: PBE
Structure: optimized geometry

Geometry as CIF:
```
data_ScGeC2I
_chemical_formula_sum 'Sc1 Ge1 C2 I1'
_cell_length_a 4.269
_cell_length_b 4.269
_cell_length_c 5.291
_cell_angle_alpha 90.00
_cell_angle_beta 90.00
_cell_angle_gamma 90.00
_space_group_name_H-M_alt 'P 4/m m m'
_space_group_IT_number 123
_space_group_name_Hall '-P 4 2'
loop_
_atom_site_label
_atom_site_type_symbol
_atom_site_fract_x
_atom_site_fract_y
_atom_site_fract_z
Sc1 Sc 0.000 0.000 0.000
Ge1 Ge 0.500 0.500 0.000
C1 C 0.000 0.500 0.500
I1 I 0.500 0.500 0.500
```

Magnetization, μB/f.u.: 0.00
Formation energy (no corrections), eV per atom: 2.2828
Crystal system: tetragonal


No. 5
Compound: Sm6Ge2CI3
Source: Alexandria via LeMat-Bulk
Functional: PBE
Structure: optimized geometry

Geometry as CIF:
```
data_Sm6Ge2CI3
_chemical_formula_sum 'Sm12 Ge4 C2 I6'
_cell_length_a 7.220
_cell_length_b 12.488
_cell_length_c 8.011
_cell_angle_alpha 90.00
_cell_angle_beta 107.43
_cell_angle_gamma 90.00
_space_group_name_H-M_alt 'C 1 2/m 1'
_space_group_IT_number 12
loop_
_space_group_symop_operation_xyz
'x,y,z'
'-x,-y,-z'
'-x,y,-z'
'x,-y,z'
'x+1/2,y+1/2,z'
'-x+1/2,-y+1/2,-z'
'-x+1/2,y+1/2,-z'
'x+1/2,-y+1/2,z'
loop_
_atom_site_label
_atom_site_type_symbol
_atom_site_fract_x
_atom_site_fract_y
_atom_site_fract_z
Sm1 Sm 0.213 0.152 0.185
Sm2 Sm 0.240 0.000 0.813
Ge1 Ge 0.000 0.334 0.000
C1 C 0.000 0.000 0.000
I1 I 0.000 0.172 0.500
I2 I 0.000 0.500 0.500
```

Magnetization, μB/f.u.: 0.00
Formation energy (no corrections), eV per atom: -0.8908
Crystal system: monoclinic


No. 6
Compound: Sm4GeCI2
Source: Alexandria via LeMat-Bulk
Functional: PBE
Structure: optimized geometry

Geometry as CIF:
```
data_Sm4GeCI2
_chemical_formula_sum 'Sm4 Ge1 C1 I2'
_cell_length_a 7.152
_cell_length_b 4.059
_cell_length_c 8.014
_cell_angle_alpha 90.00
_cell_angle_beta 107.13
_cell_angle_gamma 90.00
_space_group_name_H-M_alt 'P 1 2/m 1'
_space_group_IT_number 10
loop_
_space_group_symop_operation_xyz
'x,y,z'
'-x,-y,-z'
'-x,y,-z'
'x,-y,z'
loop_
_atom_site_label
_atom_site_type_symbol
_atom_site_fract_x
_atom_site_fract_y
_atom_site_fract_z
Sm1 Sm 0.201 0.000 0.177
Sm2 Sm 0.238 0.500 0.815
Ge1 Ge 0.500 0.000 0.000
C1 C 0.000 0.500 0.000
I1 I 0.000 0.000 0.500
I2 I 0.500 0.500 0.500
```

Magnetization, μB/f.u.: 0.00
Formation energy (no corrections), eV per atom: -0.8292
Crystal system: monoclinic


No. 7
Compound: TcGeC2I
Source: Alexandria via LeMat-Bulk
Functional: PBE
Structure: optimized geometry

Geometry as CIF:
```
data_TcGeC2I
_chemical_formula_sum 'Tc1 Ge1 C2 I1'
_cell_length_a 3.876
_cell_length_b 3.876
_cell_length_c 7.141
_cell_angle_alpha 90.00
_cell_angle_beta 90.00
_cell_angle_gamma 90.00
_space_group_name_H-M_alt 'P 4/m m m'
_space_group_IT_number 123
_space_group_name_Hall '-P 4 2'
loop_
_atom_site_label
_atom_site_type_symbol
_atom_site_fract_x
_atom_site_fract_y
_atom_site_fract_z
Tc1 Tc 0.000 0.000 0.000
Ge1 Ge 0.500 0.500 0.500
C1 C 0.000 0.500 0.500
I1 I 0.500 0.500 0.000
```

Magnetization, μB/f.u.: 3.45
Formation energy (no corrections), eV per atom: 2.4406
Crystal system: tetragonal


No. 8
Compound: InGeC3
Source: Alexandria via LeMat-Bulk
Functional: PBE
Structure: optimized geometry

Geometry as CIF:
```
data_InGeC3
_chemical_formula_sum 'In1 Ge1 C3'
_cell_length_a 4.364
_cell_length_b 4.364
_cell_length_c 4.364
_cell_angle_alpha 90.00
_cell_angle_beta 90.00
_cell_angle_gamma 90.00
_space_group_name_H-M_alt 'P m -3 m'
_space_group_IT_number 221
_space_group_name_Hall '-P 4 2 3'
loop_
_atom_site_label
_atom_site_type_symbol
_atom_site_fract_x
_atom_site_fract_y
_atom_site_fract_z
In1 In 0.000 0.000 0.000
Ge1 Ge 0.500 0.500 0.500
C1 C 0.000 0.000 0.500
```

Energy of formation, eV/atom: 3.176
Magnetization, μB/f.u.: 0.00
Crystal system: cubic


No. 9
Compound: InGe3C
Source: Alexandria via LeMat-Bulk
Functional: PBE
Structure: optimized geometry

Geometry as CIF:
```
data_InGe3C
_chemical_formula_sum 'In1 Ge3 C1'
_cell_length_a 5.249
_cell_length_b 5.249
_cell_length_c 5.249
_cell_angle_alpha 90.00
_cell_angle_beta 90.00
_cell_angle_gamma 90.00
_space_group_name_H-M_alt 'P m -3 m'
_space_group_IT_number 221
_space_group_name_Hall '-P 4 2 3'
loop_
_atom_site_label
_atom_site_type_symbol
_atom_site_fract_x
_atom_site_fract_y
_atom_site_fract_z
In1 In 0.000 0.000 0.000
Ge1 Ge 0.000 0.000 0.500
C1 C 0.500 0.500 0.500
```

Energy of formation, eV/atom: 2.175
Magnetization, μB/f.u.: 1.27
Crystal system: cubic


No. 10
Compound: InGe2C
Source: Alexandria via LeMat-Bulk
Functional: PBE
Structure: optimized geometry

Geometry as CIF:
```
data_InGe2C
_chemical_formula_sum 'In4 Ge8 C4'
_cell_length_a 5.588
_cell_length_b 5.588
_cell_length_c 10.012
_cell_angle_alpha 90.00
_cell_angle_beta 90.00
_cell_angle_gamma 90.00
_space_group_name_H-M_alt 'I -4 2 d'
_space_group_IT_number 122
_space_group_name_Hall 'I -4 2bw'
loop_
_atom_site_label
_atom_site_type_symbol
_atom_site_fract_x
_atom_site_fract_y
_atom_site_fract_z
In1 In 0.000 0.000 0.000
Ge1 Ge 0.156 0.250 0.625
C1 C 0.000 0.000 0.500
```

Energy of formation, eV/atom: 0.625
Magnetization, μB/f.u.: 0.00
Crystal system: tetragonal


No. 11
Compound: InGe3C
Source: Alexandria via LeMat-Bulk
Functional: PBE
Structure: optimized geometry

Geometry as CIF:
```
data_InGe3C
_chemical_formula_sum 'In1 Ge3 C1'
_cell_length_a 4.479
_cell_length_b 4.479
_cell_length_c 4.479
_cell_angle_alpha 90.00
_cell_angle_beta 90.00
_cell_angle_gamma 90.00
_space_group_name_H-M_alt 'P m -3 m'
_space_group_IT_number 221
_space_group_name_Hall '-P 4 2 3'
loop_
_atom_site_label
_atom_site_type_symbol
_atom_site_fract_x
_atom_site_fract_y
_atom_site_fract_z
In1 In 0.000 0.000 0.000
Ge1 Ge 0.000 0.500 0.500
C1 C 0.500 0.500 0.500
```

Energy of formation, eV/atom: 0.895
Magnetization, μB/f.u.: 0.00
Crystal system: cubic


No. 12
Compound: InGe2C
Source: Alexandria via LeMat-Bulk
Functional: PBE
Structure: optimized geometry

Geometry as CIF:
```
data_InGe2C
_chemical_formula_sum 'In4 Ge8 C4'
_cell_length_a 6.619
_cell_length_b 6.619
_cell_length_c 6.619
_cell_angle_alpha 90.00
_cell_angle_beta 90.00
_cell_angle_gamma 90.00
_space_group_name_H-M_alt 'F m -3 m'
_space_group_IT_number 225
_space_group_name_Hall '-F 4 2 3'
loop_
_atom_site_label
_atom_site_type_symbol
_atom_site_fract_x
_atom_site_fract_y
_atom_site_fract_z
In1 In 0.000 0.000 0.000
Ge1 Ge 0.250 0.250 0.250
C1 C 0.000 0.000 0.500
```

Energy of formation, eV/atom: 1.486
Magnetization, μB/f.u.: 0.00
Crystal system: cubic